Entry 1:
Material: Ca2HfS2
Method: DFT, PBE
State: relaxed

abc: 4.159 4.159 12.660
angles: 90.00 90.00 90.00
Space group I4/mmm (No. 139)
One atom of each set of equivalent atoms:
Ca 0.000 0.500 0.250
Hf 0.000 0.000 0.000
S 0.000 0.000 0.391

total magnetic moment: 0.00 μB/atom
E_form (uncorrected): -0.333 eV per atom
total energy: -47.8 eV per cell
energy above the most stable polymorph in this dataset: 818 meV per atom

Entry 2:
Material: CaHf3S
Method: DFT, PBE
State: relaxed

abc: 5.077 5.077 5.077
angles: 90.00 90.00 90.00
Space group Pm-3m (No. 221)
One atom of each set of equivalent atoms:
Ca 0.000 0.000 0.000
Hf 0.000 0.000 0.500
S 0.500 0.500 0.500

total magnetic moment: 0.00 μB/atom
E_form (uncorrected): 1.936 eV per atom
total energy: -26.3 eV per cell
energy above the most stable polymorph in this dataset: 2226 meV per atom

Entry 3:
Material: CaHf2SbS
Method: DFT, PBE
State: relaxed

abc: 4.790 4.790 5.228
angles: 90.00 90.00 90.00
Space group P4/mmm (No. 123)
One atom of each set of equivalent atoms:
Ca 0.000 0.000 0.000
Hf 0.000 0.500 0.500
Sb 0.500 0.500 0.000
S 0.000 0.000 0.500

total magnetic moment: 0.00 μB/atom
E_form (uncorrected): -0.420 eV per atom
total energy: -32.3 eV per cell

Entry 4:
Material: Ca2HfTl3S6
Method: DFT, PBE
State: relaxed

abc: 7.002 12.140 7.518
angles: 90.00 108.39 90.00
Space group C2/m (No. 12)
One atom of each set of equivalent atoms:
Ca 0.000 0.166 0.000
Hf 0.000 0.500 0.000
Tl 0.000 0.000 0.500
Tl 0.000 0.332 0.500
S 0.220 0.348 0.201
S 0.233 0.500 0.792

total magnetic moment: 0.00 μB/atom
E_form (uncorrected): -1.219 eV per atom
total energy: -120.9 eV per cell

Question: Among the records above, which one has the lowest total energy?
Answer: Ca2HfTl3S6